VASP calculation (PBE) on an optimized crystal structure of CdPt2Rh.

Summary:
Its volume is 16.20 Å³ per atom. The formation energy comes out at -0.084 eV per atom. For the density, the calculation gives 15.5 Mg/m³.

abc: 2.838 2.838 8.046
angles: 90.00 90.00 90.00
Atoms (fractional coordinates):
Cd  0.500  0.500  0.746
Rh  0.000  0.000  0.487
Pt  0.000  0.000  0.010
Pt  0.500  0.500  0.257